one) A plane-wave DFT calculation with GGA-PBE was carried out for SiRuIO2 after structural relaxation.

Cell and atoms, written as CIF:
```
data_SiRuIO2
_symmetry_space_group_name_H-M 'P 4/m m m'
_symmetry_Int_Tables_number 123
_symmetry_space_group_name_Hall '-P 4 2'
_cell_length_a 3.536
_cell_length_b 3.536
_cell_length_c 7.287
_cell_angle_alpha 90.00
_cell_angle_beta 90.00
_cell_angle_gamma 90.00
loop_
_atom_site_label
_atom_site_fract_x
_atom_site_fract_y
_atom_site_fract_z
Si1 0.000 0.000 0.000
Ru1 0.500 0.500 0.500
I1 0.000 0.000 0.500
O1 0.000 0.500 0.000
```

Summary:
Magnetization = 0.15 μB/atom

two) A plane-wave DFT calculation with GGA-PBE was carried out for SiRuIO2 after structural relaxation.

Cell and atoms, written as CIF:
```
data_SiRuIO2
_symmetry_space_group_name_H-M 'P 4/m m m'
_symmetry_Int_Tables_number 123
_symmetry_space_group_name_Hall '-P 4 2'
_cell_length_a 3.803
_cell_length_b 3.803
_cell_length_c 8.015
_cell_angle_alpha 90.00
_cell_angle_beta 90.00
_cell_angle_gamma 90.00
loop_
_atom_site_label
_atom_site_fract_x
_atom_site_fract_y
_atom_site_fract_z
Si1 0.000 0.000 0.000
Ru1 0.500 0.500 0.500
I1 0.500 0.500 0.000
O1 0.000 0.500 0.500
```

Summary:
Magnetization = 0.00 μB/atom

Of them, the most stable is one) and the least stable is two).

one) A plane-wave DFT calculation with GGA-PBE was carried out for SrRuIO2 after structural relaxation.

Cell and atoms, written as CIF:
```
data_SrRuIO2
_symmetry_space_group_name_H-M 'P 4/m m m'
_symmetry_Int_Tables_number 123
_symmetry_space_group_name_Hall '-P 4 2'
_cell_length_a 4.483
_cell_length_b 4.483
_cell_length_c 6.701
_cell_angle_alpha 90.00
_cell_angle_beta 90.00
_cell_angle_gamma 90.00
loop_
_atom_site_label
_atom_site_fract_x
_atom_site_fract_y
_atom_site_fract_z
Sr1 0.000 0.000 0.000
Ru1 0.500 0.500 0.500
I1 0.000 0.000 0.500
O1 0.000 0.500 0.000
```

Summary:
Magnetization = 0.98 μB/atom

two) A plane-wave DFT calculation with GGA-PBE was carried out for SrRuIO2 after structural relaxation.

Cell and atoms, written as CIF:
```
data_SrRuIO2
_symmetry_space_group_name_H-M 'P 4/m m m'
_symmetry_Int_Tables_number 123
_symmetry_space_group_name_Hall '-P 4 2'
_cell_length_a 4.261
_cell_length_b 4.261
_cell_length_c 5.334
_cell_angle_alpha 90.00
_cell_angle_beta 90.00
_cell_angle_gamma 90.00
loop_
_atom_site_label
_atom_site_fract_x
_atom_site_fract_y
_atom_site_fract_z
Sr1 0.000 0.000 0.000
Ru1 0.500 0.500 0.500
I1 0.500 0.500 0.000
O1 0.000 0.500 0.500
```

Summary:
Magnetization = 0.44 μB/atom

Of them, the most stable is two) and the least stable is one).

one) A plane-wave DFT calculation with GGA-PBE was carried out for TcRuI2O after structural relaxation.

Cell and atoms, written as CIF:
```
data_TcRuI2O
_symmetry_space_group_name_H-M 'P 4/m m m'
_symmetry_Int_Tables_number 123
_symmetry_space_group_name_Hall '-P 4 2'
_cell_length_a 5.541
_cell_length_b 5.541
_cell_length_c 3.707
_cell_angle_alpha 90.00
_cell_angle_beta 90.00
_cell_angle_gamma 90.00
loop_
_atom_site_label
_atom_site_fract_x
_atom_site_fract_y
_atom_site_fract_z
Tc1 0.000 0.000 0.000
Ru1 0.500 0.500 0.500
I1 0.000 0.500 0.000
O1 0.000 0.000 0.500
```

Summary:
Magnetization = 0.55 μB/atom

two) A plane-wave DFT calculation with GGA-PBE was carried out for TcRuI2O after structural relaxation.

Cell and atoms, written as CIF:
```
data_TcRuI2O
_symmetry_space_group_name_H-M 'P 4/m m m'
_symmetry_Int_Tables_number 123
_symmetry_space_group_name_Hall '-P 4 2'
_cell_length_a 5.608
_cell_length_b 5.608
_cell_length_c 3.717
_cell_angle_alpha 90.00
_cell_angle_beta 90.00
_cell_angle_gamma 90.00
loop_
_atom_site_label
_atom_site_fract_x
_atom_site_fract_y
_atom_site_fract_z
Tc1 0.000 0.000 0.000
Ru1 0.500 0.500 0.500
I1 0.000 0.500 0.500
O1 0.500 0.500 0.000
```

Summary:
Magnetization = 0.81 μB/atom

Of them, the most stable is one) and the least stable is two).

one) A plane-wave DFT calculation with GGA-PBE was carried out for TcRuIO2 after structural relaxation.

Cell and atoms, written as CIF:
```
data_TcRuIO2
_symmetry_space_group_name_H-M 'P 4/m m m'
_symmetry_Int_Tables_number 123
_symmetry_space_group_name_Hall '-P 4 2'
_cell_length_a 3.790
_cell_length_b 3.790
_cell_length_c 6.093
_cell_angle_alpha 90.00
_cell_angle_beta 90.00
_cell_angle_gamma 90.00
loop_
_atom_site_label
_atom_site_fract_x
_atom_site_fract_y
_atom_site_fract_z
Tc1 0.000 0.000 0.000
Ru1 0.500 0.500 0.500
I1 0.000 0.000 0.500
O1 0.000 0.500 0.000
```

Summary:
Magnetization = 0.25 μB/atom

two) A plane-wave DFT calculation with GGA-PBE was carried out for TcRuIO2 after structural relaxation.

Cell and atoms, written as CIF:
```
data_TcRuIO2
_symmetry_space_group_name_H-M 'P 4/m m m'
_symmetry_Int_Tables_number 123
_symmetry_space_group_name_Hall '-P 4 2'
_cell_length_a 3.790
_cell_length_b 3.790
_cell_length_c 6.964
_cell_angle_alpha 90.00
_cell_angle_beta 90.00
_cell_angle_gamma 90.00
loop_
_atom_site_label
_atom_site_fract_x
_atom_site_fract_y
_atom_site_fract_z
Tc1 0.000 0.000 0.000
Ru1 0.500 0.500 0.500
I1 0.500 0.500 0.000
O1 0.000 0.500 0.500
```

Summary:
Magnetization = 0.48 μB/atom

Of them, the most stable is one) and the least stable is two).

one) A plane-wave DFT calculation with GGA-PBE was carried out for Te2RuIO after structural relaxation.

Cell and atoms, written as CIF:
```
data_Te2RuIO
_symmetry_space_group_name_H-M 'P 4/m m m'
_symmetry_Int_Tables_number 123
_symmetry_space_group_name_Hall '-P 4 2'
_cell_length_a 4.422
_cell_length_b 4.422
_cell_length_c 6.522
_cell_angle_alpha 90.00
_cell_angle_beta 90.00
_cell_angle_gamma 90.00
loop_
_atom_site_label
_atom_site_fract_x
_atom_site_fract_y
_atom_site_fract_z
Te1 0.000 0.500 0.000
Ru1 0.000 0.000 0.500
I1 0.500 0.500 0.500
O1 0.500 0.500 0.000
```

Summary:
Magnetization = 0.62 μB/atom

two) A plane-wave DFT calculation with GGA-PBE was carried out for Te2RuIO after structural relaxation.

Cell and atoms, written as CIF:
```
data_Te2RuIO
_symmetry_space_group_name_H-M 'P 4/m m m'
_symmetry_Int_Tables_number 123
_symmetry_space_group_name_Hall '-P 4 2'
_cell_length_a 5.067
_cell_length_b 5.067
_cell_length_c 5.520
_cell_angle_alpha 90.00
_cell_angle_beta 90.00
_cell_angle_gamma 90.00
loop_
_atom_site_label
_atom_site_fract_x
_atom_site_fract_y
_atom_site_fract_z
Te1 0.000 0.500 0.000
Ru1 0.000 0.000 0.000
I1 0.000 0.000 0.500
O1 0.500 0.500 0.500
```

Summary:
Magnetization = 0.00 μB/atom

Of them, the most stable is one) and the least stable is two).

one) A plane-wave DFT calculation with GGA-PBE was carried out for TeRuIO2 after structural relaxation.

Cell and atoms, written as CIF:
```
data_TeRuIO2
_symmetry_space_group_name_H-M 'P 4/m m m'
_symmetry_Int_Tables_number 123
_symmetry_space_group_name_Hall '-P 4 2'
_cell_length_a 4.014
_cell_length_b 4.014
_cell_length_c 6.095
_cell_angle_alpha 90.00
_cell_angle_beta 90.00
_cell_angle_gamma 90.00
loop_
_atom_site_label
_atom_site_fract_x
_atom_site_fract_y
_atom_site_fract_z
Te1 0.000 0.000 0.000
Ru1 0.500 0.500 0.500
I1 0.500 0.500 0.000
O1 0.000 0.500 0.500
```

Summary:
Magnetization = 0.16 μB/atom

two) A plane-wave DFT calculation with GGA-PBE was carried out for TeRuIO2 after structural relaxation.

Cell and atoms, written as CIF:
```
data_TeRuIO2
_symmetry_space_group_name_H-M 'P 4/m m m'
_symmetry_Int_Tables_number 123
_symmetry_space_group_name_Hall '-P 4 2'
_cell_length_a 4.005
_cell_length_b 4.005
_cell_length_c 6.786
_cell_angle_alpha 90.00
_cell_angle_beta 90.00
_cell_angle_gamma 90.00
loop_
_atom_site_label
_atom_site_fract_x
_atom_site_fract_y
_atom_site_fract_z
Te1 0.000 0.000 0.000
Ru1 0.500 0.500 0.500
I1 0.000 0.000 0.500
O1 0.000 0.500 0.000
```

Summary:
Magnetization = 0.42 μB/atom

Of them, the most stable is one) and the least stable is two).